DFT (PBE-GGA) results for a relaxed structure of Ho5Er2Tm4.

Values from the calculation:
ΔE_f in eV/atom: 0.231
Energy in eV per atom: -4.305

abc: 3.451 8.865 12.413
angles: 110.92 97.99 90.00
Fractional coordinates of all 11 atoms:
Ho1 0.856 0.054 0.713
Ho2 0.856 0.658 0.713
Ho3 0.144 0.342 0.287
Ho4 0.144 0.946 0.287
Ho5 0.500 0.000 0.000
Er1 0.269 0.269 0.537
Er2 0.731 0.731 0.463
Tm1 0.000 0.312 0.000
Tm2 0.597 0.597 0.194
Tm3 0.000 0.688 0.000
Tm4 0.403 0.403 0.806


DFT (PBE-GGA) results for a relaxed structure of LaCuO2.

Values from the calculation:
Energy relative to the elements, uncorrected in eV per atom: -1.838
Energy in eV per atom: -6.573

abc: 4.176 4.176 4.176
angles: 60.00 60.00 60.00
Fractional coordinates of all 4 atoms:
O1 0.250 0.250 0.250
O2 0.750 0.750 0.750
Cu1 0.000 0.000 0.000
La1 0.500 0.500 0.500


DFT (PBE-GGA) results for a relaxed structure of SiSe2Br.

Values from the calculation:
Energy relative to the elements, uncorrected in eV per atom: 0.462
Energy in eV per atom: -3.054

abc: 6.822 6.822 2.842
angles: 90.00 90.00 134.44
Fractional coordinates of all 4 atoms:
Br1 0.000 0.500 0.500
Se1 0.000 0.000 0.000
Se2 0.500 0.500 0.000
Si1 0.500 0.000 0.500


DFT (PBE-GGA) results for a relaxed structure of Ba2TePt.

Values from the calculation:
Energy relative to the elements, uncorrected in eV per atom: -1.061
Energy in eV per atom: -4.318

abc: 8.672 8.672 8.672
angles: 151.30 150.43 41.67
Fractional coordinates of all 4 atoms:
Ba1 0.035 0.035 0.000
Ba2 0.303 0.803 0.500
Pt1 0.457 0.457 0.000
Te1 0.704 0.204 0.500